Record 1
Crystalline CsIBr at its relaxed geometry. Source: Alexandria via LeMat-Bulk, functional PBE.

Cell and atoms, written as CIF:
```
data_CsIBr
_chemical_formula_sum 'Cs1 I1 Br1'
_cell_length_a 7.117
_cell_length_b 5.907
_cell_length_c 5.907
_cell_angle_alpha 73.99
_cell_angle_beta 126.95
_cell_angle_gamma 126.95
_space_group_name_H-M_alt 'P 1'
_space_group_IT_number 1
loop_
_space_group_symop_operation_xyz
'x,y,z'
loop_
_atom_site_label
_atom_site_type_symbol
_atom_site_fract_x
_atom_site_fract_y
_atom_site_fract_z
I1 I 0.478 0.642 0.642
Br1 Br 0.978 0.142 0.142
Cs1 Cs 0.227 0.891 0.891
```

SG: Cm
Formation energy (no corrections), eV per atom: -1.112
Total energy, hartree per atom: -0.0908
Energy relative to the lowest polymorph listed for this composition, eV/atom: 0.0000
D(E_F), states/eV per atom: 0.6986

Record 2
Crystalline CsIBr2 at its relaxed geometry. Source: Alexandria via LeMat-Bulk, functional PBE.

Cell and atoms, written as CIF:
```
data_CsIBr2
_chemical_formula_sum 'Cs2 I2 Br4'
_cell_length_a 6.264
_cell_length_b 6.264
_cell_length_c 11.046
_cell_angle_alpha 73.53
_cell_angle_beta 73.53
_cell_angle_gamma 90.00
_space_group_name_H-M_alt 'P 1'
_space_group_IT_number 1
loop_
_space_group_symop_operation_xyz
'x,y,z'
loop_
_atom_site_label
_atom_site_type_symbol
_atom_site_fract_x
_atom_site_fract_y
_atom_site_fract_z
Cs1 Cs 0.000 0.000 0.000
Cs2 Cs 0.750 0.250 0.500
I1 I 0.500 0.500 0.000
I2 I 0.250 0.750 0.500
Br1 Br 0.529 0.125 0.250
Br2 Br 0.221 0.625 0.250
Br3 Br 0.375 0.471 0.750
Br4 Br 0.875 0.779 0.750
```

SG: I-42d
Formation energy (no corrections), eV per atom: -0.696
Total energy, hartree per atom: -0.0784
D(E_F), states/eV per atom: 0.3557

What is the formation energy (no corrections) in the second record?
-0.696 eV per atom

Which value of formation energy (no corrections) does entry 2 give?
-0.696 eV per atom

The lowest total energy belongs to which entry?
CsIBr

What is the formula in the first record?
CsIBr